DFT (PBE) results for crystalline AsPt2C at its relaxed geometry.

Unit cell a=4.311 b=4.311 c=4.311 alpha=60.00 beta=60.00 gamma=60.00
Positions (direct):
C (0.000, 0.000, 0.000)
Pt (0.750, 0.750, 0.750)
Pt (0.250, 0.250, 0.250)
As (0.500, 0.500, 0.500)

V in A^3/atom: 14.16
Energy of formation from the pure elements in meV per atom: 1091
Symmetry: Fm-3m
Magnetization in μB/f.u.: 0.00
ΔE to the lowest computed polymorph in eV/f.u.: 3.09
Calculated total energy in eV per atom: -5.40